[1]
Material: NdEuGdAg
Method: DFT, GGA-PBE
State: relaxed

Summary:
Calculated total energy   -7.9074 eV per atom
Energy of formation from the pure elements   0.086 eV per atom
Calculated volume   29.54 Å³ per atom

Unit cell a=7.789 b=7.789 c=7.789 alpha=90.00 beta=90.00 gamma=90.00
Space group F-43m (No. 216)
Symmetry-distinct sites (fractional):
1 Nd 0.000 0.000 0.000 x4
2 Eu 0.250 0.250 0.250 x4
3 Gd 0.000 0.000 0.500 x4
4 Ag 0.250 0.250 0.750 x4



[2]
Material: Cu3P
Method: DFT, GGA-PBE
State: relaxed

Summary:
Calculated total energy   -4.3459 eV per atom
Energy of formation from the pure elements   0.079 eV per atom
Calculated volume   12.52 Å³ per atom

Unit cell a=2.596 b=4.047 c=4.849 alpha=90.00 beta=100.53 gamma=90.00
Space group P2/m (No. 10)
Symmetry-distinct sites (fractional):
1 Cu 0.000 0.000 0.000 x1
2 Cu 0.296 0.500 0.747 x2
3 P 0.000 0.000 0.500 x1



[3]
Material: Cu2PCl
Method: DFT, GGA-PBE
State: relaxed

Summary:
Calculated total energy   -3.7087 eV per atom
Energy above the most stable polymorph in this dataset   249 meV/atom
Calculated volume   23.51 Å³ per atom
Formation energy without anion corrections   0.154 eV per atom

Unit cell a=3.077 b=7.145 c=8.555 alpha=90.00 beta=90.00 gamma=90.00
Space group Immm (No. 71)
Symmetry-distinct sites (fractional):
1 Cu 0.000 0.233 0.000 x4
2 P 0.000 0.500 0.500 x2
3 Cl 0.000 0.000 0.500 x2



no.,size of the total moment (μB per formula unit)
1,0.0
2,0.0
3,0.0